! Ti6AlHg PBE-GGA optimized geometry; values from VASP
&SYSTEM
  ibrav = 0, nat = 8, ntyp = 3
/
ATOMIC_SPECIES
Hg 200.59 Hg.upf
Ti 47.87 Ti.upf
Al 26.98 Al.upf
ATOMIC_POSITIONS crystal
Hg 0.000 0.083 0.917
Ti 0.000 0.579 0.421
Ti 0.000 0.092 0.421
Ti 0.000 0.579 0.908
Ti 0.500 0.915 0.579
Ti 0.500 0.421 0.085
Ti 0.500 0.915 0.085
Al 0.500 0.417 0.583
CELL_PARAMETERS angstrom
-0.726 -3.730 -2.849
-0.876 -3.364 4.628
-4.456 2.751 -2.466
! Energy of formation from the pure elements   -0.136 eV/atom
! N(E_F)   11.14 states/eV/f.u.
! Volume   137.8 Å³/cell
! Magnetic moment   0.00 μB per cell

! K2Sb4Au3 PBE-GGA optimized geometry; values from VASP
&SYSTEM
  ibrav = 0, nat = 9, ntyp = 3
/
ATOMIC_SPECIES
Sb 121.76 Sb.upf
Au 196.97 Au.upf
K 39.10 K.upf
ATOMIC_POSITIONS crystal
Sb 0.688 0.031 0.719
Sb 0.031 0.688 0.719
Sb 0.312 0.969 0.281
Sb 0.969 0.312 0.281
Au 0.500 0.000 0.000
Au 0.000 0.500 0.000
Au 0.000 0.000 0.000
K 0.360 0.360 0.720
K 0.640 0.640 0.280
CELL_PARAMETERS angstrom
7.230 -0.172 0.000
-3.512 6.321 0.000
-1.859 -3.075 6.335
! N(E_F)   2.73 states/eV/f.u.
! Volume   285.7 Å³/cell
! Uncorrected formation energy   -0.262 eV/atom
! Magnetic moment   0.00 μB per cell

! ZrCuC2 PBE-GGA optimized geometry; values from VASP
&SYSTEM
  ibrav = 0, nat = 4, ntyp = 3
/
ATOMIC_SPECIES
C 12.01 C.upf
Cu 63.55 Cu.upf
Zr 91.22 Zr.upf
ATOMIC_POSITIONS crystal
C 0.250 0.250 0.250
C 0.750 0.750 0.750
Cu 0.000 0.000 0.000
Zr 0.500 0.500 0.500
CELL_PARAMETERS angstrom
2.608 1.711 2.422
-0.846 3.474 1.676
-0.737 0.196 3.875
! Energy of formation from the pure elements   0.969 eV/atom
! N(E_F)   6.31 states/eV/f.u.
! Volume   43.6 Å³/cell
! Magnetic moment   0.00 μB per cell

! LiCaBe PBE-GGA optimized geometry; values from VASP
&SYSTEM
  ibrav = 0, nat = 3, ntyp = 3
/
ATOMIC_SPECIES
Li 6.94 Li.upf
Be 9.01 Be.upf
Ca 40.08 Ca.upf
ATOMIC_POSITIONS crystal
Li 0.000 0.000 0.000
Be 0.500 0.500 0.500
Ca 0.250 0.250 0.250
CELL_PARAMETERS angstrom
-3.312 -0.124 -3.562
-0.068 -3.724 -3.131
-3.622 -3.245 0.158
! Energy of formation from the pure elements   0.848 eV/atom
! N(E_F)   2.18 states/eV/f.u.
! Volume   81.5 Å³/cell
! Magnetic moment   0.00 μB per cell

! Li6Zn2Ge PBE-GGA optimized geometry; values from VASP
&SYSTEM
  ibrav = 0, nat = 9, ntyp = 3
/
ATOMIC_SPECIES
Li 6.94 Li.upf
Ge 72.64 Ge.upf
Zn 65.41 Zn.upf
ATOMIC_POSITIONS crystal
Li 0.164 0.500 0.836
Li 0.836 0.500 0.164
Li 0.500 0.836 0.164
Li 0.164 0.836 0.500
Li 0.836 0.164 0.500
Li 0.500 0.164 0.836
Ge 0.000 0.000 0.000
Zn 0.662 0.662 0.662
Zn 0.338 0.338 0.338
CELL_PARAMETERS angstrom
0.220 -5.017 1.204
4.589 1.260 2.005
-2.811 1.434 4.088
! Energy of formation from the pure elements   -0.209 eV/atom
! N(E_F)   3.38 states/eV/f.u.
! Volume   135.1 Å³/cell
! Magnetic moment   0.00 μB per cell

! Co2PtBr PBE-GGA optimized geometry; values from VASP
&SYSTEM
  ibrav = 0, nat = 4, ntyp = 3
/
ATOMIC_SPECIES
Co 58.93 Co.upf
Pt 195.08 Pt.upf
Br 79.90 Br.upf
ATOMIC_POSITIONS crystal
Co 0.750 0.750 0.750
Co 0.000 0.000 0.000
Pt 0.250 0.250 0.250
Br 0.500 0.500 0.500
CELL_PARAMETERS angstrom
4.416 0.000 0.000
2.208 3.824 0.000
2.208 1.275 3.606
! N(E_F)   5.82 states/eV/f.u.
! Volume   60.9 Å³/cell
! Uncorrected formation energy   0.802 eV/atom
! Magnetic moment   4.25 μB per cell

! Mg14AlCu PBE-GGA optimized geometry; values from VASP
&SYSTEM
  ibrav = 0, nat = 16, ntyp = 3
/
ATOMIC_SPECIES
Mg 24.30 Mg.upf
Cu 63.55 Cu.upf
Al 26.98 Al.upf
ATOMIC_POSITIONS crystal
Mg 0.657 0.834 0.267
Mg 0.166 0.343 0.267
Mg 0.336 0.664 0.000
Mg 0.665 0.335 0.750
Mg 0.665 0.335 0.250
Mg 0.657 0.834 0.733
Mg 0.333 0.166 0.000
Mg 0.837 0.163 0.000
Mg 0.344 0.157 0.500
Mg 0.165 0.835 0.746
Mg 0.165 0.835 0.254
Mg 0.166 0.343 0.733
Mg 0.834 0.667 0.000
Mg 0.843 0.656 0.500
Cu 0.331 0.669 0.500
Al 0.835 0.165 0.500
CELL_PARAMETERS angstrom
3.177 -5.317 0.000
3.177 5.317 0.000
0.000 0.000 10.163
! Energy of formation from the pure elements   0.020 eV/atom
! N(E_F)   6.84 states/eV/f.u.
! Volume   343.4 Å³/cell
! Magnetic moment   0.00 μB per cell

! La3PrNi PBE-GGA optimized geometry; values from VASP
&SYSTEM
  ibrav = 0, nat = 20, ntyp = 3
/
ATOMIC_SPECIES
La 138.91 La.upf
Ni 58.69 Ni.upf
Pr 140.91 Pr.upf
ATOMIC_POSITIONS crystal
La 0.716 0.441 0.983
La 0.284 0.559 0.017
La 0.364 0.069 0.880
La 0.636 0.931 0.120
La 0.784 0.441 0.483
La 0.216 0.559 0.517
La 0.864 0.931 0.620
La 0.509 0.781 0.377
La 0.136 0.069 0.380
La 0.991 0.781 0.877
La 0.009 0.219 0.123
La 0.491 0.219 0.623
Ni 0.764 0.082 0.906
Ni 0.736 0.082 0.406
Ni 0.236 0.918 0.094
Ni 0.264 0.918 0.594
Pr 0.474 0.317 0.234
Pr 0.526 0.683 0.766
Pr 0.026 0.317 0.734
Pr 0.974 0.683 0.266
CELL_PARAMETERS angstrom
-3.452 -3.447 -5.423
-2.218 -6.214 5.361
-7.510 7.326 0.124
! Energy of formation from the pure elements   -0.070 eV/atom
! N(E_F)   6.20 states/eV/f.u.
! Volume   617.3 Å³/cell
! Magnetic moment   0.00 μB per cell